The following is a DFT calculation (PBE-GGA) of crystalline CsU4Se12 at its relaxed geometry.

Computed properties:
Total moment = 1.21 μB/f.u.
Total DFT energy (no corrections) = -205.159 eV/cell
E_form (uncorrected) = -0.87 eV per atom

Unit cell a=10.785 b=10.785 c=10.785 alpha=90.00 beta=90.00 gamma=90.00
Space group Im-3 (No. 204)
Symmetry-distinct sites (fractional):
Cs  0.000  0.000  0.000 [2 per cell]
U  0.250  0.250  0.250 [8 per cell]
Se  0.000  0.252  0.250 [24 per cell]